No. 1
DFT (PBE) results for a relaxed CsAcI2 crystal.

CIF file:
```
data_CsAcI2
_symmetry_space_group_name_H-M 'P 4/m m m'
_symmetry_Int_Tables_number 123
_symmetry_space_group_name_Hall '-P 4 2'
_cell_length_a 4.1935
_cell_length_b 4.1935
_cell_length_c 9.2160
_cell_angle_alpha 90.00
_cell_angle_beta 90.00
_cell_angle_gamma 90.00
loop_
_atom_site_label
_atom_site_type_symbol
_atom_site_fract_x
_atom_site_fract_y
_atom_site_fract_z
_atom_site_occupancy
Cs1 Cs 0.0000 0.0000 0.0000 1
Ac1 Ac 0.0000 0.0000 0.5000 1
I1 I 0.5000 0.5000 0.2890 1
```

Results
- energy relative to the lowest polymorph listed for this composition (eV per atom) = 0.050
- uncorrected formation energy (meV per atom) = -1052

***

No. 2
DFT (PBE) results for a relaxed Cs3Ac2I9 crystal.

CIF file:
```
data_Cs3Ac2I9
_symmetry_space_group_name_H-M 'P 63/m m c'
_symmetry_Int_Tables_number 194
_symmetry_space_group_name_Hall '-P 6c 2c'
_cell_length_a 8.8477
_cell_length_b 8.8477
_cell_length_c 23.6593
_cell_angle_alpha 90.00
_cell_angle_beta 90.00
_cell_angle_gamma 120.00
loop_
_atom_site_label
_atom_site_type_symbol
_atom_site_fract_x
_atom_site_fract_y
_atom_site_fract_z
_atom_site_occupancy
Cs1 Cs 0.0000 0.0000 0.2500 1
Cs2 Cs 0.3333 0.6667 0.0514 1
Ac1 Ac 0.3333 0.6667 0.6553 1
I1 I 0.0027 0.5013 0.7500 1
I2 I 0.1601 0.3202 0.5823 1
```

Results
- uncorrected formation energy (meV per atom) = -1537

***

No. 3
DFT (PBE) results for a relaxed Cs2AcI5 crystal.

CIF file:
```
data_Cs2AcI5
_symmetry_space_group_name_H-M 'I 4 m m'
_symmetry_Int_Tables_number 107
_symmetry_space_group_name_Hall 'I 4 -2'
_cell_length_a 9.5209
_cell_length_b 9.5209
_cell_length_c 11.0881
_cell_angle_alpha 90.00
_cell_angle_beta 90.00
_cell_angle_gamma 90.00
loop_
_atom_site_label
_atom_site_type_symbol
_atom_site_fract_x
_atom_site_fract_y
_atom_site_fract_z
_atom_site_occupancy
Cs1 Cs 0.0000 0.5000 0.0000 1
Ac1 Ac 0.0000 0.0000 0.2405 1
I1 I 0.0000 0.0000 0.9649 1
I2 I 0.2371 0.2371 0.2830 1
```

Results
- energy relative to the lowest polymorph listed for this composition (eV per atom) = 0.114
- uncorrected formation energy (meV per atom) = -1483

***

No. 4
DFT (PBE) results for a relaxed Cs2AcI crystal.

CIF file:
```
data_Cs2AcI
_symmetry_space_group_name_H-M 'R -3 m'
_symmetry_Int_Tables_number 166
_symmetry_space_group_name_Hall '-R 3 2"'
_cell_length_a 4.4150
_cell_length_b 4.4150
_cell_length_c 41.6373
_cell_angle_alpha 90.00
_cell_angle_beta 90.00
_cell_angle_gamma 120.00
loop_
_atom_site_label
_atom_site_type_symbol
_atom_site_fract_x
_atom_site_fract_y
_atom_site_fract_z
_atom_site_occupancy
Cs1 Cs 0.0000 0.0000 0.1012 1
Ac1 Ac 0.0000 0.0000 0.0000 1
I1 I 0.0000 0.0000 0.5000 1
```

Results
- uncorrected formation energy (meV per atom) = -359

***

No. 5
DFT (PBE) results for a relaxed Cs2AcInI6 crystal.

CIF file:
```
data_Cs2AcInI6
_symmetry_space_group_name_H-M 'P 1 21/c 1'
_symmetry_Int_Tables_number 14
_symmetry_space_group_name_Hall '-P 2ybc'
_cell_length_a 8.9261
_cell_length_b 9.4779
_cell_length_c 15.5300
_cell_angle_alpha 90.00
_cell_angle_beta 124.01
_cell_angle_gamma 90.00
loop_
_atom_site_label
_atom_site_type_symbol
_atom_site_fract_x
_atom_site_fract_y
_atom_site_fract_z
_atom_site_occupancy
Cs1 Cs 0.2185 0.0774 0.2476 1
Ac1 Ac 0.5000 0.0000 0.0000 1
In1 In 0.0000 0.0000 0.5000 1
I1 I 0.1529 0.1901 0.9496 1
I2 I 0.2613 0.7106 0.9460 1
I3 I 0.3629 0.0293 0.7568 1
```

Results
- uncorrected formation energy (meV per atom) = -1355

***

No. 6
DFT (PBE) results for a relaxed CsAcIn2I6 crystal.

CIF file:
```
data_CsAcIn2I6
_symmetry_space_group_name_H-M 'P 1'
_symmetry_Int_Tables_number 1
_symmetry_space_group_name_Hall 'P 1'
_cell_length_a 8.8827
_cell_length_b 8.8885
_cell_length_c 9.4503
_cell_angle_alpha 62.00
_cell_angle_beta 61.97
_cell_angle_gamma 60.04
loop_
_atom_site_label
_atom_site_type_symbol
_atom_site_fract_x
_atom_site_fract_y
_atom_site_fract_z
_atom_site_occupancy
Cs1 Cs 0.0000 0.0000 0.0000 1
Ac1 Ac 0.4831 0.4833 0.5501 1
In1 In 0.2909 0.2915 0.1262 1
In2 In 0.8033 0.8035 0.5898 1
I1 I 0.0871 0.4464 0.8199 1
I2 I 0.2312 0.8622 0.3384 1
I3 I 0.4463 0.6459 0.8203 1
I4 I 0.5681 0.2310 0.3384 1
I5 I 0.6459 0.0879 0.8199 1
I6 I 0.8622 0.5686 0.3381 1
```

Results
- uncorrected formation energy (meV per atom) = -1116

***

No. 7
DFT (PBE) results for a relaxed CsKAc2I8 crystal.

CIF file:
```
data_CsKAc2I8
_symmetry_space_group_name_H-M 'P -3'
_symmetry_Int_Tables_number 147
_symmetry_space_group_name_Hall '-P 3'
_cell_length_a 8.7356
_cell_length_b 8.7356
_cell_length_c 9.7731
_cell_angle_alpha 90.00
_cell_angle_beta 90.00
_cell_angle_gamma 120.00
loop_
_atom_site_label
_atom_site_type_symbol
_atom_site_fract_x
_atom_site_fract_y
_atom_site_fract_z
_atom_site_occupancy
Cs1 Cs 0.0000 0.0000 0.0000 1
K1 K 0.0000 0.0000 0.5000 1
Ac1 Ac 0.3333 0.6667 0.4102 1
I1 I 0.0633 0.3791 0.6590 1
I2 I 0.3333 0.6667 0.0861 1
```

Results
- uncorrected formation energy (meV per atom) = -1494

***

No. 8
DFT (PBE) results for a relaxed CsLiAcI5 crystal.

CIF file:
```
data_CsLiAcI5
_symmetry_space_group_name_H-M 'C 1 2/c 1'
_symmetry_Int_Tables_number 15
_symmetry_space_group_name_Hall '-C 2yc'
_cell_length_a 10.6486
_cell_length_b 14.3941
_cell_length_c 12.1693
_cell_angle_alpha 90.00
_cell_angle_beta 113.39
_cell_angle_gamma 90.00
loop_
_atom_site_label
_atom_site_type_symbol
_atom_site_fract_x
_atom_site_fract_y
_atom_site_fract_z
_atom_site_occupancy
Cs1 Cs 0.0000 0.1480 0.2500 1
Li1 Li 0.0000 0.1915 0.7500 1
Ac1 Ac 0.0000 0.5000 0.0000 1
I1 I 0.0000 0.4152 0.2500 1
I2 I 0.1092 0.2947 0.6130 1
I3 I 0.1856 0.0713 0.9252 1
```

Results
- uncorrected formation energy (meV per atom) = -1457

***

no.,uncorrected energy (Ry per atom),density of states at the Fermi level (states/eV/cell)
1,-0.2254,1.790
2,-0.2428,0.000
3,-0.2336,0.000
4,-0.1617,7.303
5,-0.2309,0.000
6,-0.2271,0.000
7,-0.2481,0.000
8,-0.2415,0.000